## Ca2WN2 (PBEsol)

Data for a geometry-optimized Ca2WN2 structure.

Unit cell a=5.200 b=6.216 c=6.524 alpha=89.81 beta=68.34 gamma=65.57
Space group P-1 (No. 2)
Unique sites:
1 Ca 0.091 0.077 0.218 x2
2 Ca 0.294 0.282 0.663 x2
3 W 0.419 0.432 0.190 x2
4 N 0.182 0.711 0.394 x2
5 N 0.416 0.892 0.775 x2

## Properties
Calculated density   5.52 g cm⁻³
Crystal system   triclinic
Excess energy over the best structure of this formula in the dataset   0.36 eV/f.u.
Calculated total energy   -38.8 eV per formula unit



## CaZr2ZnN (PBEsol)

Data for a geometry-optimized CaZr2ZnN structure.

Unit cell a=5.459 b=5.459 c=3.574 alpha=90.00 beta=90.00 gamma=90.00
Space group P4/mmm (No. 123)
Unique sites:
1 Ca 0.000 0.000 0.000 x1
2 Zr 0.000 0.500 0.500 x2
3 Zn 0.500 0.500 0.500 x1
4 N 0.500 0.500 0.000 x1

## Properties
Calculated density   4.71 g cm⁻³
Crystal system   tetragonal
Calculated total energy   -25.2 eV per formula unit



no.,total magnetization (μB per cell),uncorrected formation energy (eV/atom)
1,0.0,-0.7359
2,0.4,1.0349